Here is crystalline ScPbW2 at its relaxed geometry from Alexandria via LeMat-Bulk. Energies are from GGA-PBE.

Summary:
VASP energy	-8.587	eV/atom
DFT formation energy	0.40	eV per atom
mass density	13218	kg/m3

Lattice parameters (Å, degrees): 5.4784 5.4784 5.4784 142.09 128.59 65.62
With the nearest neighbours (Å) after each atom.
Element x y z (fractional)
1 W 0.9756 0.9756 0.0000  2 W 2.58
2 Pb 0.5114 0.5114 0.0000  8 W 2.99-3.23, 4 Sc 3.07-3.17
3 W 0.7734 0.2734 0.5000  2 W 2.58
4 Sc 0.2396 0.7396 0.5000  8 W 2.98-3.22, 4 Pb 3.07-3.17

Here is crystalline Sc2PbW at its relaxed geometry from Alexandria via LeMat-Bulk. Energies are from GGA-PBE.

Summary:
VASP energy	-7.055	eV/atom
DFT formation energy	0.28	eV per atom
mass density	9270	kg/m3

Lattice parameters (Å, degrees): 4.9294 4.9294 6.0110 82.95 82.95 36.50
With the nearest neighbours (Å) after each atom.
Element x y z (fractional)
1 Sc 0.4981 0.4981 0.5206  3 W 2.88-2.98, 3 Pb 3.00-3.10, 4 Sc 3.09-3.16
2 W 0.7500 0.7500 0.7500  6 Sc 2.88-2.98, 2 W 3.09
3 Sc 0.0019 0.0019 0.9794  3 W 2.88-2.98, 3 Pb 3.00-3.10, 4 Sc 3.09-3.16
4 Pb 0.2500 0.2500 0.2500  6 Sc 3.00-3.10, 2 Pb 3.09

Here is crystalline ScPb2W at its relaxed geometry from Alexandria via LeMat-Bulk. Energies are from GGA-PBE.

Summary:
VASP energy	-6.300	eV/atom
DFT formation energy	0.38	eV per atom
mass density	10597	kg/m3

Lattice parameters (Å, degrees): 3.0458 3.0458 10.8648 90.00 90.00 90.00
With the nearest neighbours (Å) after each atom.
Element x y z (fractional)
1 W 0.5000 0.5000 0.7273  4 Sc 3.00, 4 W 3.05, 4 Pb 3.20
2 Pb 0.0000 0.0000 0.9448  4 Pb 3.05, 4 W 3.20
3 Pb 0.5000 0.5000 0.2926  4 Pb 3.05, 4 Sc 3.40
4 Sc 0.0000 0.0000 0.5353  4 W 3.00, 4 Sc 3.05

Here is crystalline ScPbW2 at its relaxed geometry from Alexandria via LeMat-Bulk. Energies are from GGA-PBE.

Summary:
VASP energy	-8.258	eV/atom
DFT formation energy	0.73	eV per atom
mass density	13219	kg/m3

Lattice parameters (Å, degrees): 2.9338 2.9338 9.4847 90.00 90.00 107.49
With the nearest neighbours (Å) after each atom.
Element x y z (fractional)
1 W 0.0000 0.0000 0.9959  2 Sc 2.91, 4 W 2.93, 2 Pb 2.97
2 Sc 0.5000 0.5000 0.7500  4 W 2.91, 4 Sc 2.93
3 W 0.0000 0.0000 0.5041  2 Sc 2.91, 4 W 2.93, 2 Pb 2.97
4 Pb 0.5000 0.5000 0.2500  4 Pb 2.93, 4 W 2.97

Here is crystalline Sc2PbW at its relaxed geometry from Alexandria via LeMat-Bulk. Energies are from GGA-PBE.

Summary:
VASP energy	-7.163	eV/atom
DFT formation energy	0.17	eV per atom
mass density	9640	kg/m3

Lattice parameters (Å, degrees): 5.4916 5.4916 5.4916 134.54 134.54 66.25
With the nearest neighbours (Å) after each atom.
Element x y z (fractional)
1 Sc 0.2500 0.7500 0.5000  4 Pb 3.00, 4 Sc 3.13, 4 W 3.13
2 Pb 0.7500 0.2500 0.5000  8 Sc 3.00-3.13, 4 W 3.13
3 W 0.5000 0.5000 0.0000  8 Sc 3.00-3.13, 4 Pb 3.13
4 Sc 0.0000 0.0000 0.0000  4 W 3.00, 4 Pb 3.13, 4 Sc 3.13

Here is crystalline ScPbW4 at its relaxed geometry from Alexandria via LeMat-Bulk. Energies are from GGA-PBE.

Summary:
VASP energy	-9.898	eV/atom
DFT formation energy	0.41	eV per atom
mass density	14462	kg/m3

Lattice parameters (Å, degrees): 5.4328 5.4328 5.4328 60.00 60.00 60.00
With the nearest neighbours (Å) after each atom.
Element x y z (fractional)
1 Sc 0.0000 0.0000 0.0000  12 W 3.19, 4 Pb 3.33
2 W 0.8749 0.3750 0.3750  6 W 2.72
3 W 0.3750 0.8749 0.3750  6 W 2.72
4 Pb 0.7500 0.7500 0.7500  12 W 3.19, 4 Sc 3.33
5 W 0.3750 0.3750 0.8749  6 W 2.72
6 W 0.3750 0.3750 0.3750  6 W 2.72

Here is crystalline ScPbW2 at its relaxed geometry from Alexandria via LeMat-Bulk. Energies are from GGA-PBE.

Summary:
VASP energy	-8.490	eV/atom
DFT formation energy	0.50	eV per atom
mass density	13707	kg/m3

Lattice parameters (Å, degrees): 4.6176 4.0326 4.0326 90.00 90.00 90.00
With the nearest neighbours (Å) after each atom.
Element x y z (fractional)
1 W 0.0000 0.5000 0.5000  4 W 2.85, 4 Pb 3.07, 4 Sc 3.07
2 Sc 0.5000 0.0000 0.5000  4 Pb 2.85, 8 W 3.07
3 W 0.0000 0.0000 0.0000  4 W 2.85, 4 Pb 3.07, 4 Sc 3.07
4 Pb 0.5000 0.5000 0.0000  4 Sc 2.85, 8 W 3.07

Here is crystalline ScPb2W at its relaxed geometry from Alexandria via LeMat-Bulk. Energies are from GGA-PBE.

Summary:
VASP energy	-6.164	eV/atom
DFT formation energy	0.51	eV per atom
mass density	12097	kg/m3

Lattice parameters (Å, degrees): 3.4944 3.4946 7.2299 90.00 90.00 90.00
With the nearest neighbours (Å) after each atom.
Element x y z (fractional)
1 Pb 0.0000 0.0000 0.5227  4 W 2.97, 4 Sc 3.16, 1 Pb 3.29
2 Sc 0.5000 0.5000 0.2500  8 Pb 3.16, 4 Sc 3.49
3 W 0.5000 0.5000 0.7500  8 Pb 2.97
4 Pb 0.0000 0.0000 0.9773  4 W 2.97, 4 Sc 3.16, 1 Pb 3.29

Here is crystalline ScPb2W at its relaxed geometry from Alexandria via LeMat-Bulk. Energies are from GGA-PBE.

Summary:
VASP energy	-6.132	eV/atom
DFT formation energy	0.54	eV per atom
mass density	12035	kg/m3

Lattice parameters (Å, degrees): 6.3903 5.3902 3.3125 80.89 75.45 121.04
With the nearest neighbours (Å) after each atom.
Element x y z (fractional)
1 Sc 0.0000 0.5000 0.5000  4 Pb 2.93, 2 W 3.21
2 Pb 0.0000 0.0000 0.0000  2 W 2.93, 2 Sc 2.93, 2 Pb 3.21
3 Pb 0.5000 0.0000 0.5000  2 Sc 2.93, 2 W 2.93, 2 Pb 3.21
4 W 0.5000 0.5000 0.0000  4 Pb 2.93, 2 Sc 3.21

Here is crystalline Sc2PbW at its relaxed geometry from Alexandria via LeMat-Bulk. Energies are from GGA-PBE.

Summary:
VASP energy	-6.914	eV/atom
DFT formation energy	0.42	eV per atom
mass density	9064	kg/m3

Lattice parameters (Å, degrees): 3.0991 3.0991 9.1741 90.00 90.00 90.00
With the nearest neighbours (Å) after each atom.
Element x y z (fractional)
1 Pb 0.5000 0.5000 0.7323  4 W 3.09, 4 Pb 3.10, 4 Sc 3.26
2 Sc 0.5000 0.5000 0.2767  4 W 2.97, 4 Sc 3.10
3 Sc 0.0000 0.0000 0.9959  8 Sc 3.10-3.38, 4 Pb 3.26
4 W 0.0000 0.0000 0.4951  4 Sc 2.97, 4 Pb 3.09, 4 W 3.10

Here is crystalline Sc2PbW at its relaxed geometry from Alexandria via LeMat-Bulk. Energies are from GGA-PBE.

Summary:
VASP energy	-7.123	eV/atom
DFT formation energy	0.21	eV per atom
mass density	9399	kg/m3

Lattice parameters (Å, degrees): 5.4725 5.4725 5.3280 80.33 80.33 32.74
With the nearest neighbours (Å) after each atom.
Element x y z (fractional)
1 Sc 0.9912 0.9912 0.0131  4 W 2.97-3.19, 3 Pb 3.02-3.15, 3 Sc 3.05-3.09
2 W 0.5061 0.5061 0.5315  7 Sc 2.96-3.19, 2 Pb 3.05, 2 W 3.09
3 Pb 0.2356 0.2356 0.2382  7 Sc 3.02-3.15, 2 W 3.05, 2 Pb 3.09
4 Sc 0.7672 0.7672 0.7172  3 W 2.96-3.07, 4 Pb 3.05-3.14, 3 Sc 3.05-3.09

Here is crystalline ScPb2W at its relaxed geometry from Alexandria via LeMat-Bulk. Energies are from GGA-PBE.

Summary:
VASP energy	-6.259	eV/atom
DFT formation energy	0.42	eV per atom
mass density	11321	kg/m3

Lattice parameters (Å, degrees): 3.5569 3.5578 7.4552 90.00 90.00 90.00
With the nearest neighbours (Å) after each atom.
Element x y z (fractional)
1 W 0.5000 0.5000 0.7340  4 Sc 2.91, 4 Pb 2.97
2 Pb 0.0000 0.0000 0.9452  4 W 2.97, 1 Sc 3.04
3 Sc 0.0000 0.0000 0.5372  4 W 2.91, 5 Pb 3.04-3.15
4 Pb 0.5000 0.5000 0.2836  4 Sc 3.15, 1 W 3.36

Here is crystalline Sc3PbW at its relaxed geometry from Alexandria via LeMat-Bulk. Energies are from GGA-PBE.

Summary:
VASP energy	-5.745	eV/atom
DFT formation energy	1.39	eV per atom
mass density	5832	kg/m3

Lattice parameters (Å, degrees): 5.3102 5.3102 5.3102 90.00 90.00 90.00
With the nearest neighbours (Å) after each atom.
Element x y z (fractional)
1 Pb 0.0000 0.0000 0.0000  6 Sc 2.66
2 Sc 0.5000 0.0000 0.0000  2 Pb 2.66
3 W 0.5000 0.5000 0.5000  12 Sc 3.75
4 Sc 0.0000 0.0000 0.5000  2 Pb 2.66
5 Sc 0.0000 0.5000 0.0000  2 Pb 2.66

Here is crystalline Sc2PbW at its relaxed geometry from Alexandria via LeMat-Bulk. Energies are from GGA-PBE.

Summary:
VASP energy	-7.200	eV/atom
DFT formation energy	0.13	eV per atom
mass density	9557	kg/m3

Lattice parameters (Å, degrees): 5.0658 3.1080 5.3076 90.02 90.00 90.00
With the nearest neighbours (Å) after each atom.
Element x y z (fractional)
1 Pb 0.5000 0.6250 0.8004  8 Sc 2.99-3.17, 2 Pb 3.11, 2 W 3.19
2 W 0.0000 0.6250 0.4344  8 Sc 3.02-3.13, 2 W 3.11, 2 Pb 3.19
3 Sc 0.0000 0.1254 0.9452  4 W 3.02-3.13, 4 Pb 3.07, 4 Sc 3.11-3.22
4 Sc 0.5000 0.1246 0.3201  4 Pb 2.99-3.17, 4 W 3.03, 4 Sc 3.11-3.22

Here is crystalline Sc2PbW at its relaxed geometry from Alexandria via LeMat-Bulk. Energies are from GGA-PBE.

Summary:
VASP energy	-6.901	eV/atom
DFT formation energy	0.43	eV per atom
mass density	9006	kg/m3

Lattice parameters (Å, degrees): 10.0598 10.0598 10.0598 18.41 18.41 18.41
With the nearest neighbours (Å) after each atom.
Element x y z (fractional)
1 Sc 0.0020 0.0020 0.0020  3 Pb 3.17, 9 Sc 3.22-3.33
2 Sc 0.2421 0.2421 0.2421  3 W 2.90, 6 Sc 3.22
3 Pb 0.7553 0.7553 0.7553  3 W 2.98, 3 Sc 3.17, 6 Pb 3.22
4 W 0.5005 0.5005 0.5005  3 Sc 2.90, 3 Pb 2.98, 6 W 3.22

Here is crystalline ScPbW at its relaxed geometry from Alexandria via LeMat-Bulk. Energies are from GGA-PBE.

Summary:
VASP energy	-7.194	eV/atom
DFT formation energy	0.47	eV per atom
mass density	11568	kg/m3

Lattice parameters (Å, degrees): 4.9360 4.9360 2.9660 90.00 90.00 120.00
With the nearest neighbours (Å) after each atom.
Element x y z (fractional)
1 Pb 0.0000 0.0000 0.8357  3 W 2.85, 2 Pb 2.97
2 W 0.3333 0.6667 0.8315  3 Pb 2.85, 2 W 2.97
3 Sc 0.6667 0.3333 0.3329  2 Sc 2.97, 6 Pb 3.21-3.22, 6 W 3.21

Here is crystalline ScPbW2 at its relaxed geometry from Alexandria via LeMat-Bulk. Energies are from GGA-PBE.

Summary:
VASP energy	-8.600	eV/atom
DFT formation energy	0.39	eV per atom
mass density	12970	kg/m3

Lattice parameters (Å, degrees): 3.0210 3.0210 9.4059 90.00 90.00 112.42
With the nearest neighbours (Å) after each atom.
Element x y z (fractional)
1 Sc 0.5000 0.5000 0.7736  2 W 2.81, 4 Sc 3.02
2 W 0.0000 0.0000 0.0136  2 W 2.59, 2 Sc 2.81
3 Pb 0.0000 0.0000 0.4890  2 W 3.01, 6 Pb 3.02-3.36, 2 Sc 3.16
4 W 0.5000 0.5000 0.2238  2 W 2.59

Here is crystalline ScPb2W at its relaxed geometry from Alexandria via LeMat-Bulk. Energies are from GGA-PBE.

Summary:
VASP energy	-6.245	eV/atom
DFT formation energy	0.43	eV per atom
mass density	10989	kg/m3

Lattice parameters (Å, degrees): 11.0681 11.0681 11.0681 16.66 16.66 16.66
With the nearest neighbours (Å) after each atom.
Element x y z (fractional)
1 Pb 0.2419 0.2419 0.2419  6 Pb 3.21, 3 Sc 3.36
2 Pb 0.0125 0.0125 0.0125  3 W 3.12, 6 Pb 3.21
3 W 0.7557 0.7557 0.7557  3 Sc 2.88, 3 Pb 3.12, 6 W 3.21
4 Sc 0.4898 0.4898 0.4898  3 W 2.88, 6 Sc 3.21

Here is crystalline ScPbW2 at its relaxed geometry from Alexandria via LeMat-Bulk. Energies are from GGA-PBE.

Summary:
VASP energy	-8.524	eV/atom
DFT formation energy	0.46	eV per atom
mass density	13824	kg/m3

Lattice parameters (Å, degrees): 4.7251 4.7251 4.7251 120.12 120.12 89.79
With the nearest neighbours (Å) after each atom.
Element x y z (fractional)
1 Pb 0.5000 0.5000 0.0000  4 W 2.89, 4 Sc 2.89
2 W 0.0000 0.0000 0.0000  4 W 2.89, 4 Sc 2.89
3 W 0.2500 0.7500 0.5000  4 W 2.89, 4 Pb 2.89
4 Sc 0.7500 0.2500 0.5000  4 Pb 2.89, 4 W 2.89

Here is crystalline ScPb2W at its relaxed geometry from Alexandria via LeMat-Bulk. Energies are from GGA-PBE.

Summary:
VASP energy	-5.912	eV/atom
DFT formation energy	0.76	eV per atom
mass density	11484	kg/m3

Lattice parameters (Å, degrees): 5.0856 5.0856 5.0856 60.00 60.00 60.00
With the nearest neighbours (Å) after each atom.
Element x y z (fractional)
1 Sc 0.5000 0.5000 0.5000  4 Pb 3.11, 4 W 3.11
2 Pb 0.2500 0.2500 0.2500  4 Pb 3.11, 4 Sc 3.11
3 W 0.7500 0.7500 0.7500  4 Sc 3.11, 4 Pb 3.11
4 Pb 0.0000 0.0000 0.0000  4 W 3.11, 4 Pb 3.11